[1]
A plane-wave DFT calculation with PBEsol was carried out for a relaxed Be2CrRh crystal.

Results
Calculated total energy, eV for the cell shown: -78.545
Spin magnetization, μB per atom: 0.000
Formation energy from the elements, kJ per mole of atoms: 4.8
ρ, g cm⁻³: 6.669
Polymorph energy (0 for the lowest one), eV/f.u.: 0.96

a b c (Å): 2.5788 2.5788 22.4296
angles (deg): 90.00 90.00 120.00
Space group R-3m (No. 166, hexagonal axes)
Inequivalent atoms, fractional coordinates:
Be  0.0000  0.0000  0.2481 (multiplicity 6)
Cr  0.0000  0.0000  0.0000 (multiplicity 3)
Rh  0.0000  0.0000  0.5000 (multiplicity 3)

---

[2]
A plane-wave DFT calculation with PBEsol was carried out for a relaxed Tc2Pt2I crystal.

Results
Energy relative to the elements, uncorrected, eV per atom: 0.533
Calculated total energy, eV for the cell shown: -71.128
Spin magnetization, μB per atom: 0.000
ρ, g cm⁻³: 13.625

a b c (Å): 3.745 3.745 12.390
angles (deg): 90.00 90.00 90.00
Space group I4/mmm (No. 139)
Inequivalent atoms, fractional coordinates:
Tc  0.000  0.000  0.099 (multiplicity 4)
Pt  0.000  0.500  0.250 (multiplicity 4)
I  0.000  0.000  0.500 (multiplicity 2)

---

[3]
A plane-wave DFT calculation with PBEsol was carried out for a relaxed La2SiHg crystal.

Results
Energy relative to the elements, uncorrected, eV per atom: -0.322
Calculated total energy, eV for the cell shown: -18.292
Spin magnetization, μB per atom: 0.000
ρ, g cm⁻³: 7.125

a b c (Å): 3.733 5.030 6.287
angles (deg): 90.00 90.00 90.00
Space group Pmmm (No. 47)
Inequivalent atoms, fractional coordinates:
La  0.000  0.000  0.000 (multiplicity 1)
La  0.500  0.500  0.500 (multiplicity 1)
Si  0.000  0.000  0.500 (multiplicity 1)
Hg  0.500  0.500  0.000 (multiplicity 1)

---

[4]
A plane-wave DFT calculation with PBEsol was carried out for a relaxed ReSb2Os crystal.

Results
Energy relative to the elements, uncorrected, eV per atom: 0.419
Calculated total energy, eV for the cell shown: -32.986
Spin magnetization, μB per atom: 0.000
ρ, g cm⁻³: 12.565

a b c (Å): 2.894 3.709 7.632
angles (deg): 90.00 90.16 90.00
Space group Pm (No. 6)
Inequivalent atoms, fractional coordinates:
Re  0.000  0.000  0.000 (multiplicity 1)
Sb  0.492  0.000  0.593 (multiplicity 1)
Sb  0.502  0.500  0.230 (multiplicity 1)
Os  0.499  0.500  0.853 (multiplicity 1)

---

[5]
A plane-wave DFT calculation with PBEsol was carried out for a relaxed HfTcNO2 crystal.

Results
Energy relative to the elements, uncorrected, eV per atom: -0.844
Calculated total energy, eV for the cell shown: -45.015
Spin magnetization, μB per atom: 0.000
ρ, g cm⁻³: 9.630

a b c (Å): 3.772 3.772 3.908
angles (deg): 90.00 90.00 90.00
Space group P4/mmm (No. 123)
Inequivalent atoms, fractional coordinates:
Hf  0.000  0.000  0.000 (multiplicity 1)
Tc  0.500  0.500  0.500 (multiplicity 1)
N  0.500  0.500  0.000 (multiplicity 1)
O  0.000  0.500  0.500 (multiplicity 2)

---

[6]
A plane-wave DFT calculation with PBEsol was carried out for a relaxed CaY2Br crystal.

Results
Energy relative to the elements, uncorrected, eV per atom: -0.150
Calculated total energy, eV for the cell shown: -36.496
Spin magnetization, μB per atom: 0.000
ρ, g cm⁻³: 4.180
Polymorph energy (0 for the lowest one), eV/f.u.: 0.90

a b c (Å): 6.521 10.013 3.624
angles (deg): 90.00 90.00 90.00
Space group Cmmm (No. 65)
Inequivalent atoms, fractional coordinates:
Ca  0.000  0.000  0.000 (multiplicity 2)
Y  0.250  0.250  0.500 (multiplicity 4)
Br  0.000  0.500  0.000 (multiplicity 2)

---

[7]
A plane-wave DFT calculation with PBEsol was carried out for a relaxed Sr2YCu2AgO7 crystal.

Results
Energy relative to the elements, uncorrected, eV per atom: -1.782
Calculated total energy, eV for the cell shown: -329.573
Spin magnetization, μB per atom: 0.000
ρ, g cm⁻³: 6.121

a b c (Å): 23.635 5.291 5.302
angles (deg): 90.00 90.00 90.00
Space group Ima2 (No. 46)
Inequivalent atoms, fractional coordinates:
Sr  0.151  0.001  0.000 (multiplicity 8)
Y  0.000  0.000  0.998 (multiplicity 4)
Cu  0.074  0.000  0.498 (multiplicity 8)
Ag  0.250  0.518  0.990 (multiplicity 4)
O  0.060  0.750  0.248 (multiplicity 8)
O  0.061  0.250  0.248 (multiplicity 8)
O  0.164  0.503  0.001 (multiplicity 8)
O  0.250  0.534  0.564 (multiplicity 4)

---

[8]
A plane-wave DFT calculation with PBEsol was carried out for a relaxed MgCo2Sn2 crystal.

Results
Calculated total energy, eV for the cell shown: -52.087
Spin magnetization, μB per atom: 0.000
Formation energy from the elements, kJ per mole of atoms: -6.4
ρ, g cm⁻³: 7.903

a b c (Å): 7.046 7.046 3.213
angles (deg): 90.00 90.00 90.00
Space group P4/mbm (No. 127)
Inequivalent atoms, fractional coordinates:
Mg  0.000  0.000  0.000 (multiplicity 2)
Co  0.137  0.363  0.000 (multiplicity 4)
Sn  0.159  0.659  0.500 (multiplicity 4)

---

[9]
A plane-wave DFT calculation with PBEsol was carried out for a relaxed Mg4Zn3 crystal.

Results
Calculated total energy, eV for the cell shown: -12.095
Spin magnetization, μB per atom: 0.000
Formation energy from the elements, kJ per mole of atoms: -6.6
ρ, g cm⁻³: 3.828
Polymorph energy (0 for the lowest one), eV/f.u.: 0.00

a b c (Å): 5.1303 5.1303 5.5842
angles (deg): 90.00 90.00 120.00
Space group P6/mmm (No. 191)
Inequivalent atoms, fractional coordinates:
Mg  0.0000  0.0000  0.2499 (multiplicity 2)
Mg  0.3333  0.6667  0.0000 (multiplicity 2)
Zn  0.0000  0.5000  0.5000 (multiplicity 3)

---

[10]
A plane-wave DFT calculation with PBEsol was carried out for a relaxed NaGdTi2O6 crystal.

Results
Energy relative to the elements, uncorrected, eV per atom: -3.050
Calculated total energy, eV for the cell shown: -188.984
Spin magnetization, μB per atom: 0.695
ρ, g cm⁻³: 5.594

a b c (Å): 7.589 5.481 5.309
angles (deg): 90.00 90.00 90.00
Space group Pmn2_1 (No. 31)
Inequivalent atoms, fractional coordinates:
Na  0.000  0.220  0.000 (multiplicity 2)
Gd  0.000  0.685  0.482 (multiplicity 2)
Ti  0.248  0.236  0.486 (multiplicity 4)
O  0.000  0.270  0.570 (multiplicity 2)
O  0.000  0.772  0.906 (multiplicity 2)
O  0.202  0.948  0.302 (multiplicity 4)
O  0.213  0.463  0.216 (multiplicity 4)

---

[11]
A plane-wave DFT calculation with PBEsol was carried out for a relaxed BaCa2In2 crystal.

Results
Calculated total energy, eV for the cell shown: -28.185
Spin magnetization, μB per atom: 0.000
Formation energy from the elements, kJ per mole of atoms: -33.0
ρ, g cm⁻³: 4.430
Polymorph energy (0 for the lowest one), eV/f.u.: 0.00

a b c (Å): 9.025 9.025 4.116
angles (deg): 90.00 90.00 90.00
Space group P4/mbm (No. 127)
Inequivalent atoms, fractional coordinates:
Ba  0.000  0.000  0.000 (multiplicity 2)
Ca  0.172  0.328  0.500 (multiplicity 4)
In  0.120  0.620  0.000 (multiplicity 4)

---

[12]
A plane-wave DFT calculation with PBEsol was carried out for a relaxed CaBiI2O crystal.

Results
Energy relative to the elements, uncorrected, eV per atom: -0.653
Calculated total energy, eV for the cell shown: -18.468
Spin magnetization, μB per atom: 0.091
ρ, g cm⁻³: 5.907
Polymorph energy (0 for the lowest one), eV/f.u.: 0.00

a b c (Å): 6.001 6.001 4.050
angles (deg): 90.00 90.00 90.00
Space group P4/mmm (No. 123)
Inequivalent atoms, fractional coordinates:
Ca  0.000  0.000  0.000 (multiplicity 1)
Bi  0.500  0.500  0.500 (multiplicity 1)
I  0.000  0.500  0.000 (multiplicity 2)
O  0.000  0.000  0.500 (multiplicity 1)